Material: CsPdCl
Method: DFT, PBE
State: relaxed

Values from the calculation:
density of states at the Fermi level = 0.00 states/eV/f.u.
DFT total energy = -19.86 eV/cell
offset from the most stable computed form = 163 meV per atom
uncorrected formation energy = -0.68 eV/atom
volume = 44.56 Å³/atom

POSCAR file:
```
CsPdCl
1.0
2.8682 -4.9808 0.0000
2.8682 4.9808 0.0000
0.0000 0.0000 9.3571
Cs Pd Cl
2 2 2
Direct
0.1676 0.8324 0.7500
0.8324 0.1676 0.2500
0.4997 0.5003 0.2500
0.5003 0.4997 0.7500
0.5000 0.5000 0.0000
0.5000 0.5000 0.5000
```